# 1
This record from the Alexandria database describes an optimized crystal structure of KAg2BiCl. The functional is GGA-PBE.

Structure (POSCAR):
```
KAg2BiCl
1.0
5.674 0.000 0.000
0.000 5.674 0.000
0.000 0.000 6.515
K Ag Bi Cl
1 2 1 1
Direct
0.000 0.000 0.000
0.000 0.500 0.000
0.500 0.000 0.000
0.000 0.000 0.500
0.500 0.500 0.500
```

Results
E_form (uncorrected)   474.8 kJ/mol of formula units

=====

# 2
This record from the Alexandria database describes an optimized crystal structure of K2AgBiCl6. The functional is GGA-PBE.

Structure (POSCAR):
```
K2AgBiCl6
1.0
0.000 5.409 5.409
5.409 0.000 5.409
5.409 5.409 0.000
K Ag Bi Cl
2 1 1 6
Direct
0.250 0.250 0.250
0.750 0.750 0.750
0.000 0.000 0.000
0.500 0.500 0.500
0.249 0.249 0.751
0.249 0.751 0.249
0.249 0.751 0.751
0.751 0.249 0.249
0.751 0.249 0.751
0.751 0.751 0.249
```

Results
E_form (uncorrected)   -1216.9 kJ/mol of formula units

=====

# 3
This record from the Alexandria database describes an optimized crystal structure of KAgBiCl5. The functional is GGA-PBE.

Structure (POSCAR):
```
KAgBiCl5
1.0
4.426 -6.293 0.000
4.426 6.293 0.000
-3.805 0.000 9.451
K Ag Bi Cl
2 2 2 10
Direct
0.148 0.852 0.750
0.852 0.148 0.250
0.188 0.812 0.250
0.812 0.188 0.750
0.500 0.500 0.000
0.500 0.500 0.500
0.127 0.241 0.942
0.185 0.576 0.396
0.241 0.127 0.442
0.414 0.586 0.750
0.424 0.815 0.104
0.576 0.185 0.896
0.586 0.414 0.250
0.759 0.873 0.558
0.815 0.424 0.604
0.873 0.759 0.058
```

Results
E_form (uncorrected)   -861.6 kJ/mol of formula units

=====

# 4
This record from the Alexandria database describes an optimized crystal structure of KAg2BiCl6. The functional is GGA-PBE.

Structure (POSCAR):
```
KAg2BiCl6
1.0
3.609 2.083 6.441
-3.609 2.083 6.441
0.000 -4.167 6.441
K Ag Bi Cl
1 2 1 6
Direct
0.000 0.000 0.000
0.279 0.279 0.279
0.800 0.800 0.800
0.481 0.481 0.481
0.081 0.646 0.448
0.207 0.557 0.889
0.448 0.081 0.646
0.557 0.889 0.207
0.646 0.448 0.081
0.889 0.207 0.557
```

Results
E_form (uncorrected)   -942.0 kJ/mol of formula units

=====

# 5
This record from the Alexandria database describes an optimized crystal structure of K2AgBiCl6. The functional is GGA-PBE.

Structure (POSCAR):
```
K2AgBiCl6
1.0
7.347 0.000 0.000
0.000 7.723 0.000
-7.212 0.000 10.455
K Ag Bi Cl
4 2 2 12
Direct
0.224 0.074 0.248
0.224 0.426 0.748
0.776 0.574 0.252
0.776 0.926 0.752
0.000 0.000 0.500
0.000 0.500 0.000
0.500 0.000 0.000
0.500 0.500 0.500
0.147 0.196 0.948
0.147 0.304 0.448
0.255 0.705 0.948
0.255 0.795 0.448
0.352 0.029 0.748
0.352 0.471 0.248
0.648 0.529 0.752
0.648 0.971 0.252
0.745 0.205 0.552
0.745 0.295 0.052
0.853 0.696 0.552
0.853 0.804 0.052
```

Results
E_form (uncorrected)   -1261.0 kJ/mol of formula units

=====

# 6
This record from the Alexandria database describes an optimized crystal structure of LiAg2BiCl6. The functional is GGA-PBE.

Structure (POSCAR):
```
LiAg2BiCl6
1.0
6.883 0.000 0.000
-3.438 5.970 0.000
-3.437 -1.983 6.139
Li Ag Bi Cl
1 2 1 6
Direct
0.000 0.000 0.000
0.417 0.209 0.626
0.422 0.711 0.130
0.009 0.505 0.513
0.170 0.782 0.279
0.171 0.899 0.790
0.497 0.387 0.278
0.518 0.618 0.791
0.890 0.272 0.790
0.893 0.110 0.279
```

Results
E_form (uncorrected)   -885.9 kJ/mol of formula units

=====

# 7
This record from the Alexandria database describes an optimized crystal structure of MnAg2BiCl6. The functional is GGA-PBE.

Structure (POSCAR):
```
MnAg2BiCl6
1.0
6.774 0.000 0.000
-3.259 6.017 0.000
-1.134 -1.377 7.012
Mn Ag Bi Cl
1 2 1 6
Direct
0.000 0.000 0.000
0.320 0.641 0.967
0.678 0.360 0.034
0.499 0.000 0.500
0.091 0.765 0.223
0.253 0.932 0.782
0.334 0.348 0.184
0.664 0.652 0.818
0.745 0.068 0.220
0.908 0.235 0.778
```

Results
E_form (uncorrected)   -641.0 kJ/mol of formula units

=====

# 8
This record from the Alexandria database describes an optimized crystal structure of MnAgBiCl6. The functional is GGA-PBE.

Structure (POSCAR):
```
MnAgBiCl6
1.0
6.736 0.000 0.000
-3.368 5.834 0.000
0.000 0.000 12.187
Mn Ag Bi Cl
2 2 2 12
Direct
0.333 0.667 0.250
0.667 0.333 0.750
0.000 0.000 0.000
0.000 0.000 0.500
0.333 0.667 0.750
0.667 0.333 0.250
0.022 0.359 0.129
0.022 0.663 0.371
0.337 0.359 0.371
0.337 0.978 0.129
0.359 0.022 0.629
0.359 0.337 0.871
0.641 0.663 0.129
0.641 0.978 0.371
0.663 0.022 0.871
0.663 0.641 0.629
0.978 0.337 0.629
0.978 0.641 0.871
```

Results
E_form (uncorrected)   -772.3 kJ/mol of formula units